## LuThAu (PBE)

Data for an optimized crystal structure of LuThAu.

Computed properties:
The space group is F-43m (216). The value obtained for the calculated formation energy is 0.2946 eV/atom.

Cell: 4.877 4.877 4.877 Å, 60.00 60.00 60.00°
Sites, in units of the cell vectors:
Au (0.250, 0.250, 0.250)
Lu (0.000, 0.000, 0.000)
Th (0.750, 0.750, 0.750)